Entry 1:
VASP calculation (GGA-PBE) on a relaxed structure of ZnHCl2.

It has space group Cm (No. 8), with a = 6.2198 Å, b = 12.1913 Å, c = 6.8570 Å, α = 90.00°, β = 116.87° and γ = 90.00°. Symmetry generates all atoms from Zn at (0.0000, 0.0000, 0.0000), Zn at (0.9998, 0.5000, 0.9997), H at (0.4984, 0.2496, 0.4995), Cl at (0.1105, 0.0000, 0.7202), Cl at (0.2499, 0.3597, 0.9996) and Cl at (0.3894, 0.0000, 0.2795).

The energy relative to the lowest polymorph listed for this composition comes out at 0.0000 eV/atom. The mass density comes out at 1.97 Mg/m³. The total magnetic moment is 1.00 μB per formula unit. The calculation puts the total DFT energy (no corrections) at -2.36 eV/atom.


Entry 2:
VASP calculation (GGA-PBE) on a relaxed structure of TaInIr.

It has space group I4mm (No. 107), with a = 2.9843 Å, b = 2.9843 Å, c = 11.9723 Å, α = 90.00°, β = 90.00° and γ = 90.00°. Symmetry generates all atoms from Ta at (0.0000, 0.0000, 0.0000), In at (0.0000, 0.0000, 0.3129) and Ir at (0.0000, 0.0000, 0.6442).

The mass density comes out at 15.20 Mg/m³. The total magnetic moment is 0.00 μB per formula unit. The calculation puts the total DFT energy (no corrections) at -8.00 eV/atom.


Entry 3:
VASP calculation (GGA-PBE) on a relaxed structure of V6GeRu.

It has space group Cmmm (No. 65), with a = 6.2322 Å, b = 8.2518 Å, c = 4.1990 Å, α = 90.00°, β = 90.00° and γ = 90.00°. Symmetry generates all atoms from V at (0.0000, 0.2388, 0.0000), V at (0.2360, 0.5000, 0.0000), V at (0.2500, 0.2500, 0.5000), Ge at (0.0000, 0.0000, 0.5000) and Ru at (0.0000, 0.5000, 0.5000).

The mass density comes out at 7.37 Mg/m³. The total magnetic moment is 0.00 μB per formula unit. The calculation puts the total DFT energy (no corrections) at -8.81 eV/atom.


- total DFT energy (no corrections) of number 2 (TaInIr)?
  -8.00 eV/atom